[1]
## Dy5TlBi4 (GGA-PBE)

Data for a relaxed Dy5TlBi4 crystal.

Total magnetic moment ... 0.0 μB per formula unit
Formation energy ... -0.679 eV/atom
Total DFT energy (no corrections) ... -4.769 eV/atom
Space-group type ... I4, No. 79

Lattice parameters (Å, degrees): 7.7346 7.7346 7.7346 99.55 99.55 131.92
Last column: nearest neighbours and their distance in Å.
Element x y z (fractional)
Dy (0.0000, 0.0000, 0.0000)  2 Tl 3.15, 4 Bi 3.16
Dy (0.1984, 0.3983, 0.5953)  5 Bi 3.12-3.18, 1 Tl 3.19
Dy (0.3983, 0.8030, 0.1998)  5 Bi 3.12-3.18, 1 Tl 3.19
Dy (0.6031, 0.1984, 0.8002)  5 Bi 3.12-3.18, 1 Tl 3.19
Dy (0.8030, 0.6031, 0.4047)  5 Bi 3.12-3.18, 1 Tl 3.19
Tl (0.4999, 0.4999, 0.0000)  6 Dy 3.15-3.19
Bi (0.0999, 0.7008, 0.7993)  6 Dy 3.12-3.18
Bi (0.3007, 0.0999, 0.3992)  6 Dy 3.12-3.18
Bi (0.7008, 0.9015, 0.6008)  6 Dy 3.12-3.18
Bi (0.9015, 0.3007, 0.2007)  6 Dy 3.12-3.18


[2]
## Tm6Te3Se2S (GGA-PBE)

Data for a relaxed Tm6Te3Se2S crystal.

Total magnetic moment ... 0.0 μB per formula unit
Raw formation energy ... -1.4859 eV per atom
Total DFT energy (no corrections) ... -5.432 eV/atom
Space-group type ... C2/m, No. 12

Lattice parameters (Å, degrees): 7.1243 7.1243 7.2410 99.39 99.39 120.15
Last column: nearest neighbours and their distance in Å.
Element x y z (fractional)
Tm (0.0686, 0.3815, 0.2073)  1 S 2.64, 2 Se 2.83-2.84
Tm (0.2413, 0.2413, 0.7869)  1 S 2.66, 2 Se 2.84
Tm (0.3815, 0.0686, 0.2073)  1 S 2.64, 2 Se 2.83-2.84
Tm (0.6185, 0.9314, 0.7927)  1 S 2.64, 2 Se 2.83-2.84
Tm (0.7587, 0.7587, 0.2131)  1 S 2.66, 2 Se 2.84
Tm (0.9314, 0.6185, 0.7927)  1 S 2.64, 2 Se 2.83-2.84
Te (0.1722, 0.8278, 0.5000)  6 Tm 3.05-3.17
Te (0.5000, 0.5000, 0.5000)  6 Tm 3.06-3.19
Te (0.8278, 0.1722, 0.5000)  6 Tm 3.05-3.17
Se (0.3343, 0.6657, 0.0000)  6 Tm 2.83-2.84
Se (0.6657, 0.3343, 0.0000)  6 Tm 2.83-2.84
S (0.0000, 0.0000, 0.0000)  6 Tm 2.64-2.66


[3]
## PrOs2O7F2 (GGA-PBE)

Data for a relaxed PrOs2O7F2 crystal.

Total magnetic moment ... 0.0 μB per formula unit
Raw formation energy ... -1.1926 eV per atom
Total DFT energy (no corrections) ... -6.667 eV/atom
Space-group type ... I4/mmm, No. 139

Lattice parameters (Å, degrees): 9.9344 9.9344 9.9344 157.18 157.18 32.49
Last column: nearest neighbours and their distance in Å.
Element x y z (fractional)
Pr (0.0000, 0.0000, 0.0000)  12 O 2.61-2.78
Os (0.3893, 0.3893, 0.0000)  1 O 1.69
Os (0.6107, 0.6107, 0.0000)  1 O 1.69
O (0.0903, 0.5903, 0.5000)  2 Os 2.00
O (0.3006, 0.3006, 0.0000)  1 Os 1.69
O (0.4097, 0.9097, 0.5000)  2 Os 2.00
O (0.5000, 0.5000, 0.0000)  2 Os 2.11
O (0.5903, 0.0903, 0.5000)  2 Os 2.00
O (0.6994, 0.6994, 0.0000)  1 Os 1.69
O (0.9097, 0.4097, 0.5000)  2 Os 2.00
F (0.2500, 0.7500, 0.5000)  4 O 2.19
F (0.7500, 0.2500, 0.5000)  4 O 2.19


[4]
## Ni2SnSe (GGA-PBE)

Data for a relaxed Ni2SnSe crystal.

Total magnetic moment ... 0.0 μB per formula unit
Raw formation energy ... -0.0592 eV per atom
Total DFT energy (no corrections) ... -4.822 eV/atom
Space-group type ... I-42d, No. 122

Lattice parameters (Å, degrees): 4.5696 4.5696 14.4261 90.00 90.00 90.00
Last column: nearest neighbours and their distance in Å.
Element x y z (fractional)
Ni (0.1646, 0.2500, 0.1250)  2 Se 2.26
Ni (0.2500, 0.6646, 0.3750)  2 Se 2.26
Ni (0.2500, 0.8354, 0.8750)  2 Se 2.26
Ni (0.3354, 0.2500, 0.6250)  2 Se 2.26
Ni (0.6646, 0.7500, 0.6250)  2 Se 2.26
Ni (0.7500, 0.1646, 0.8750)  2 Se 2.26
Ni (0.7500, 0.3354, 0.3750)  2 Se 2.26
Ni (0.8354, 0.7500, 0.1250)  2 Se 2.26
Sn (0.0000, 0.0000, 0.5000)  4 Ni 2.63
Sn (0.0000, 0.5000, 0.7500)  4 Ni 2.63
Sn (0.5000, 0.0000, 0.2500)  4 Ni 2.63
Sn (0.5000, 0.5000, 0.0000)  4 Ni 2.63
Se (0.0000, 0.0000, 0.0000)  4 Ni 2.26
Se (0.0000, 0.5000, 0.2500)  4 Ni 2.26
Se (0.5000, 0.0000, 0.7500)  4 Ni 2.26
Se (0.5000, 0.5000, 0.5000)  4 Ni 2.26


[5]
## Ir2IN (GGA-PBE)

Data for a relaxed Ir2IN crystal.

Energy above the lowest structure with this stoichiometry ... 1042 meV/atom
Total magnetic moment ... 0.6 μB per formula unit
Raw formation energy ... 1.8073 eV per atom
Total DFT energy (no corrections) ... -5.092 eV/atom
Space-group type ... Fm-3m, No. 225

Lattice parameters (Å, degrees): 6.2282 6.2282 6.2282 90.00 90.00 90.00
Last column: nearest neighbours and their distance in Å.
Element x y z (fractional)
Ir (0.2500, 0.2500, 0.2500)  4 I 2.70, 4 N 2.70
Ir (0.2500, 0.2500, 0.7500)  4 I 2.70, 4 N 2.70
Ir (0.2500, 0.7500, 0.2500)  4 I 2.70, 4 N 2.70
Ir (0.2500, 0.7500, 0.7500)  4 I 2.70, 4 N 2.70
Ir (0.7500, 0.2500, 0.2500)  4 I 2.70, 4 N 2.70
Ir (0.7500, 0.2500, 0.7500)  4 I 2.70, 4 N 2.70
Ir (0.7500, 0.7500, 0.2500)  4 I 2.70, 4 N 2.70
Ir (0.7500, 0.7500, 0.7500)  4 I 2.70, 4 N 2.70
I (0.0000, 0.0000, 0.0000)  8 Ir 2.70
I (0.0000, 0.5000, 0.5000)  8 Ir 2.70
I (0.5000, 0.0000, 0.5000)  8 Ir 2.70
I (0.5000, 0.5000, 0.0000)  8 Ir 2.70
N (0.0000, 0.0000, 0.5000)  8 Ir 2.70
N (0.0000, 0.5000, 0.0000)  8 Ir 2.70
N (0.5000, 0.0000, 0.0000)  8 Ir 2.70
N (0.5000, 0.5000, 0.5000)  8 Ir 2.70


[6]
## YZnB (GGA-PBE)

Data for a relaxed YZnB crystal.

Energy above the lowest structure with this stoichiometry ... 195 meV/atom
Total magnetic moment ... 0.0 μB per formula unit
Formation energy ... -0.178 eV/atom
Total DFT energy (no corrections) ... -4.984 eV/atom
Space-group type ... F-43m, No. 216

Lattice parameters (Å, degrees): 5.8907 5.8907 5.8907 90.00 90.00 90.00
Last column: nearest neighbours and their distance in Å.
Element x y z (fractional)
Y (0.0000, 0.0000, 0.0000)  4 B 2.55
Y (0.0000, 0.5000, 0.5000)  4 B 2.55
Y (0.5000, 0.0000, 0.5000)  4 B 2.55
Y (0.5000, 0.5000, 0.0000)  4 B 2.55
Zn (0.0000, 0.0000, 0.5000)  4 B 2.55
Zn (0.0000, 0.5000, 0.0000)  4 B 2.55
Zn (0.5000, 0.0000, 0.0000)  4 B 2.55
Zn (0.5000, 0.5000, 0.5000)  4 B 2.55
B (0.2500, 0.2500, 0.2500)  4 Zn 2.55, 4 Y 2.55
B (0.2500, 0.7500, 0.7500)  4 Zn 2.55, 4 Y 2.55
B (0.7500, 0.2500, 0.7500)  4 Zn 2.55, 4 Y 2.55
B (0.7500, 0.7500, 0.2500)  4 Zn 2.55, 4 Y 2.55


[7]
## SrHgRh (GGA-PBE)

Data for a relaxed SrHgRh crystal.

Total magnetic moment ... 0.0 μB per formula unit
Formation energy ... -0.155 eV/atom
Total DFT energy (no corrections) ... -3.267 eV/atom
Space-group type ... F-43m, No. 216

Lattice parameters (Å, degrees): 6.8313 6.8313 6.8313 90.00 90.00 90.00
Last column: nearest neighbours and their distance in Å.
Element x y z (fractional)
Sr (0.0000, 0.0000, 0.0000)  4 Rh 2.96
Sr (0.0000, 0.5000, 0.5000)  4 Rh 2.96
Sr (0.5000, 0.0000, 0.5000)  4 Rh 2.96
Sr (0.5000, 0.5000, 0.0000)  4 Rh 2.96
Hg (0.0000, 0.0000, 0.5000)  4 Rh 2.96
Hg (0.0000, 0.5000, 0.0000)  4 Rh 2.96
Hg (0.5000, 0.0000, 0.0000)  4 Rh 2.96
Hg (0.5000, 0.5000, 0.5000)  4 Rh 2.96
Rh (0.2500, 0.2500, 0.2500)  4 Hg 2.96, 4 Sr 2.96
Rh (0.2500, 0.7500, 0.7500)  4 Hg 2.96, 4 Sr 2.96
Rh (0.7500, 0.2500, 0.7500)  4 Hg 2.96, 4 Sr 2.96
Rh (0.7500, 0.7500, 0.2500)  4 Hg 2.96, 4 Sr 2.96


[8]
## TbHoP2 (GGA-PBE)

Data for a relaxed TbHoP2 crystal.

Energy above the lowest structure with this stoichiometry ... 0 meV/atom
Total magnetic moment ... 0.0 μB per formula unit
Formation energy ... -1.614 eV/atom
Total DFT energy (no corrections) ... -6.621 eV/atom
Space-group type ... C2/c, No. 15

Lattice parameters (Å, degrees): 8.9599 8.9599 6.9414 104.96 104.96 126.87
Last column: nearest neighbours and their distance in Å.
Element x y z (fractional)
Tb (0.0627, 0.9373, 0.7500)  6 P 2.84
Tb (0.3122, 0.6878, 0.7500)  6 P 2.84
Tb (0.6878, 0.3122, 0.2500)  6 P 2.84
Tb (0.9373, 0.0627, 0.2500)  6 P 2.84
Ho (0.1873, 0.8127, 0.2500)  6 P 2.82-2.83
Ho (0.4378, 0.5622, 0.2500)  6 P 2.82-2.83
Ho (0.5622, 0.4378, 0.7500)  6 P 2.82-2.83
Ho (0.8127, 0.1873, 0.7500)  6 P 2.82-2.83
P (0.0636, 0.4385, 0.2481)  3 Ho 2.82, 3 Tb 2.84
P (0.1884, 0.3135, 0.7518)  3 Ho 2.82-2.83, 3 Tb 2.84
P (0.3135, 0.1884, 0.2518)  3 Ho 2.82-2.83, 3 Tb 2.84
P (0.4385, 0.0636, 0.7481)  3 Ho 2.82, 3 Tb 2.84
P (0.5615, 0.9364, 0.2519)  3 Ho 2.82, 3 Tb 2.84
P (0.6865, 0.8116, 0.7482)  3 Ho 2.82-2.83, 3 Tb 2.84
P (0.8116, 0.6865, 0.2482)  3 Ho 2.82-2.83, 3 Tb 2.84
P (0.9364, 0.5615, 0.7519)  3 Ho 2.82, 3 Tb 2.84